A plane-wave DFT calculation with PBE was carried out for an optimized crystal structure of NaIBr2.

Geometry as POSCAR:
```
NaIBr2
1.0
8.2557 0.0000 0.0000
0.0000 8.2557 0.0000
4.1279 4.1279 4.1941
Br I Na
4 2 2
Direct
0.1599 0.6250 0.2500 Br
0.3750 0.4099 0.7500 Br
0.8750 0.8401 0.7500 Br
0.5901 0.1250 0.2500 Br
0.7500 0.2500 0.5000 I
0.0000 0.0000 0.0000 I
0.5000 0.5000 0.0000 Na
0.2500 0.7500 0.5000 Na
```

Energy relative to the lowest polymorph listed for this composition (meV per atom): 354
ΔE_f (raw) (kcal/mol of atoms): -10.10
Space group: No. 122
Mass density (Mg/m³): 3.6